*a*
Entry from Alexandria via LeMat-Bulk: Na2Zn2Ag after structural relaxation (PBE).

## Properties
DOS(E_F) = 1.15 states/eV/f.u.

Unit cell a=8.6442 b=8.6442 c=2.9977 alpha=90.00 beta=90.00 gamma=90.00
Closest atoms and distances in Å follow each position.
Sites, in units of the cell vectors:
Na (0.3106, 0.8106, 0.0000)  6 Zn 2.93-3.04, 2 Na 3.00, 2 Ag 3.14
Na (0.8106, 0.6894, 0.0000)  6 Zn 2.93-3.04, 2 Na 3.00, 2 Ag 3.14
Na (0.6894, 0.1894, 0.0000)  6 Zn 2.93-3.04, 2 Na 3.00, 2 Ag 3.14
Na (0.1894, 0.3106, 0.0000)  6 Zn 2.93-3.04, 2 Na 3.00, 2 Ag 3.14
Zn (0.1050, 0.6050, 0.5000)  1 Zn 2.57
Zn (0.6050, 0.8950, 0.5000)  1 Zn 2.57
Zn (0.8950, 0.3950, 0.5000)  1 Zn 2.57
Zn (0.3950, 0.1050, 0.5000)  1 Zn 2.57
Ag (0.0000, 0.0000, 0.0000)  2 Ag 3.00, 4 Na 3.14
Ag (0.5000, 0.5000, 0.0000)  2 Ag 3.00, 4 Na 3.14

*b*
Entry from Alexandria via LeMat-Bulk: Na2Zn2Ag after structural relaxation (PBE).

## Properties
DOS(E_F) = 1.86 states/eV/f.u.

Unit cell a=3.9424 b=5.1708 c=5.7876 alpha=83.84 beta=70.09 gamma=67.59
Closest atoms and distances in Å follow each position.
Sites, in units of the cell vectors:
Na (0.1899, 0.2149, 0.4052)  3 Na 2.89-3.05, 4 Zn 3.01-3.21, 2 Ag 3.11
Na (0.8101, 0.7851, 0.5948)  3 Na 2.89-3.05, 4 Zn 3.01-3.21, 2 Ag 3.11
Zn (0.3698, 0.3836, 0.8768)  2 Zn 2.62, 2 Ag 2.79
Zn (0.6302, 0.6164, 0.1232)  2 Zn 2.62, 2 Ag 2.79
Ag (0.0000, 0.0000, 0.0000)  6 Zn 2.79-3.00, 4 Na 3.11

*c*
Entry from Alexandria via LeMat-Bulk: Na2Zn2Ag after structural relaxation (PBE).

## Properties
DOS(E_F) = 1.99 states/eV/f.u.

Unit cell a=3.5729 b=3.5729 c=9.5297 alpha=79.20 beta=79.20 gamma=90.00
Closest atoms and distances in Å follow each position.
Sites, in units of the cell vectors:
Na (0.3982, 0.3982, 0.2035)  4 Ag 3.14, 4 Zn 3.26
Na (0.6018, 0.6018, 0.7965)  4 Ag 3.14, 4 Zn 3.26
Zn (0.7500, 0.2500, 0.5000)  4 Zn 2.53
Zn (0.2500, 0.7500, 0.5000)  4 Zn 2.53
Ag (0.0000, 0.0000, 0.0000)  8 Na 3.14

Q: Which of them is the least stable? A: *a*.

*a*
Entry from Alexandria via LeMat-Bulk: NaZn9Ag2 after structural relaxation (PBE).

## Properties
DOS(E_F) = 3.48 states/eV/f.u.

Unit cell a=5.1466 b=5.1466 c=9.0567 alpha=73.49 beta=73.49 gamma=60.00
Closest atoms and distances in Å follow each position.
Sites, in units of the cell vectors:
Na (0.0000, 0.0000, 0.0000)  6 Zn 2.97
Zn (0.6668, 0.6668, 0.9997)  6 Zn 2.64-2.66
Zn (0.3332, 0.3332, 0.0003)  6 Zn 2.64-2.66
Zn (0.5000, 0.5000, 0.5000)  6 Zn 2.57
Zn (0.4125, 0.4125, 0.2570)  7 Zn 2.54-2.66
Zn (0.9181, 0.4125, 0.2570)  7 Zn 2.54-2.66
Zn (0.4125, 0.9181, 0.2570)  7 Zn 2.54-2.66
Zn (0.5875, 0.5875, 0.7430)  7 Zn 2.54-2.66
Zn (0.5875, 0.0819, 0.7430)  7 Zn 2.54-2.66
Zn (0.0819, 0.5875, 0.7430)  7 Zn 2.54-2.66
Ag (0.8569, 0.8569, 0.4294)  12 Zn 2.97-3.06, 3 Ag 3.21
Ag (0.1431, 0.1431, 0.5706)  12 Zn 2.97-3.06, 3 Ag 3.21

*b*
Entry from Alexandria via LeMat-Bulk: NaZn9Ag2 after structural relaxation (PBE).

## Properties
DOS(E_F) = 3.69 states/eV/f.u.

Unit cell a=2.9976 b=8.8381 c=8.8381 alpha=120.00 beta=90.00 gamma=90.00
Closest atoms and distances in Å follow each position.
Sites, in units of the cell vectors:
Na (0.0000, 0.0000, 0.0000)  2 Na 3.00, 12 Zn 3.10
Zn (0.5000, 0.8229, 0.1771)  8 Zn 2.71-3.00, 2 Ag 2.82
Zn (0.0000, 0.0000, 0.5000)  2 Ag 2.55
Zn (0.0000, 0.5000, 0.5000)  2 Ag 2.55
Zn (0.5000, 0.8229, 0.6457)  8 Zn 2.71-3.00, 2 Ag 2.82
Zn (0.5000, 0.1771, 0.8229)  8 Zn 2.71-3.00, 2 Ag 2.82
Zn (0.5000, 0.6457, 0.8229)  8 Zn 2.71-3.00, 2 Ag 2.82
Zn (0.5000, 0.1771, 0.3543)  8 Zn 2.71-3.00, 2 Ag 2.82
Zn (0.0000, 0.5000, 0.0000)  2 Ag 2.55
Zn (0.5000, 0.3543, 0.1771)  8 Zn 2.71-3.00, 2 Ag 2.82
Ag (0.0000, 0.6667, 0.3333)  9 Zn 2.55-2.82
Ag (0.0000, 0.3333, 0.6667)  9 Zn 2.55-2.82

Q: Which of them is the least stable? A: *b*.